# HoZnHg2

A relaxed HoZnHg2 crystal (PBE, Alexandria via LeMat-Bulk).

Summary:
Calculated formation energy, eV per atom: -0.27
Volume, Å³ per atom: 22.52
Fermi-level density of states, states/eV/cell: 2.94
Crystal system: tetragonal

Lattice parameters (Å, degrees): 4.548 4.548 4.356 90.00 90.00 90.00
Fractional positions:
Ho: 0.000 0.000 0.000
Zn: 0.500 0.500 0.000
Hg: 0.000 0.500 0.500
Hg: 0.500 0.000 0.500